Record 1
A plane-wave DFT calculation with PBE was carried out for Pm5Mg4Cd after structural relaxation.

Cell: 3.8557 3.8557 19.2900 Å, 90.00 90.00 90.00°
Last column: nearest neighbours and their distance in Å.
Atoms (fractional coordinates):
Pm (0.0000, 0.0000, 0.0000)  8 Mg 3.35
Pm (0.0000, 0.0000, 0.2013)  8 Mg 3.33-3.35
Pm (0.0000, 0.0000, 0.4010)  4 Cd 3.33, 4 Mg 3.35
Pm (0.0000, 0.0000, 0.5990)  4 Cd 3.33, 4 Mg 3.35
Pm (0.0000, 0.0000, 0.7987)  8 Mg 3.33-3.35
Mg (0.5000, 0.5000, 0.1005)  8 Pm 3.35
Mg (0.5000, 0.5000, 0.3001)  8 Pm 3.33-3.35
Mg (0.5000, 0.5000, 0.6999)  8 Pm 3.33-3.35
Mg (0.5000, 0.5000, 0.8995)  8 Pm 3.35
Cd (0.5000, 0.5000, 0.5000)  8 Pm 3.33

Values from the calculation:
- ρ: 5.412 g/cm3
- Space-group type: P4/mmm
- ΔE_f: -0.149 eV/atom

***

Record 2
A plane-wave DFT calculation with PBE was carried out for TlReSi2 after structural relaxation.

Cell: 3.3185 4.8591 9.5925 Å, 90.00 90.00 90.00°
Last column: nearest neighbours and their distance in Å.
Atoms (fractional coordinates):
Tl (0.0000, 0.0000, 0.0000)  4 Tl 2.94
Tl (0.5000, 0.5000, 0.0000)  4 Tl 2.94
Re (0.0000, 0.0000, 0.5000)  4 Si 2.47
Re (0.5000, 0.5000, 0.5000)  4 Si 2.47
Si (0.0000, 0.5000, 0.3098)  2 Re 2.47
Si (0.0000, 0.5000, 0.6902)  2 Re 2.47
Si (0.5000, 0.0000, 0.3098)  2 Re 2.47
Si (0.5000, 0.0000, 0.6902)  2 Re 2.47

Values from the calculation:
- ρ: 9.592 g/cm3
- Space-group type: Cmmm
- Formation energy (no corrections): 0.4462 eV/atom
- Excess energy over the best structure of this formula in the dataset: 1.107 eV/f.u.

***

Record 3
A plane-wave DFT calculation with PBE was carried out for CdIn6Sn2 after structural relaxation.

Cell: 10.3963 10.3963 4.4699 Å, 90.00 90.00 90.00°
Last column: nearest neighbours and their distance in Å.
Atoms (fractional coordinates):
Cd (0.0000, 0.0000, 0.0000)  8 In 3.23-3.44, 4 Sn 3.38
Cd (0.5000, 0.5000, 0.5000)  8 In 3.23-3.44, 4 Sn 3.38
In (0.0031, 0.3308, 0.0000)  3 Sn 3.29-3.44, 8 In 3.32-3.52, 1 Cd 3.44
In (0.1585, 0.8415, 0.5000)  2 Cd 3.23, 6 In 3.32-3.52, 4 Sn 3.34-3.44
In (0.1692, 0.5031, 0.5000)  3 Sn 3.29-3.44, 8 In 3.32-3.52, 1 Cd 3.44
In (0.3308, 0.0031, 0.0000)  3 Sn 3.29-3.44, 8 In 3.32-3.52, 1 Cd 3.44
In (0.3415, 0.3415, 0.0000)  2 Cd 3.23, 6 In 3.32-3.52, 4 Sn 3.34-3.44
In (0.4969, 0.8308, 0.5000)  3 Sn 3.29-3.44, 8 In 3.32-3.52, 1 Cd 3.44
In (0.5031, 0.1692, 0.5000)  3 Sn 3.29-3.44, 8 In 3.32-3.52, 1 Cd 3.44
In (0.6585, 0.6585, 0.0000)  2 Cd 3.23, 6 In 3.32-3.52, 4 Sn 3.34-3.44
In (0.6692, 0.9969, 0.0000)  3 Sn 3.29-3.44, 8 In 3.32-3.52, 1 Cd 3.44
In (0.8308, 0.4969, 0.5000)  3 Sn 3.29-3.44, 8 In 3.32-3.52, 1 Cd 3.44
In (0.8415, 0.1585, 0.5000)  2 Cd 3.23, 6 In 3.32-3.52, 4 Sn 3.34-3.44
In (0.9969, 0.6692, 0.0000)  3 Sn 3.29-3.44, 8 In 3.32-3.52, 1 Cd 3.44
Sn (0.1723, 0.1723, 0.5000)  10 In 3.29-3.44, 2 Cd 3.38
Sn (0.3277, 0.6723, 0.0000)  10 In 3.29-3.44, 2 Cd 3.38
Sn (0.6723, 0.3277, 0.0000)  10 In 3.29-3.44, 2 Cd 3.38
Sn (0.8277, 0.8277, 0.5000)  10 In 3.29-3.44, 2 Cd 3.38

Values from the calculation:
- ρ: 7.140 g/cm3
- Space-group type: P4_2/mnm
- ΔE_f: 0.030 eV/atom

***

Record 4
A plane-wave DFT calculation with PBE was carried out for Sc3Al3Os2Rh after structural relaxation.

Cell: 6.6828 6.6828 4.0001 Å, 90.00 90.00 120.00°
Last column: nearest neighbours and their distance in Å.
Atoms (fractional coordinates):
Sc (0.0000, 0.5847, 0.0000)  1 Rh 2.78, 4 Os 2.84, 2 Al 3.03
Sc (0.4153, 0.4153, 0.0000)  1 Rh 2.78, 4 Os 2.84, 2 Al 3.03
Sc (0.5847, 0.0000, 0.0000)  1 Rh 2.78, 4 Os 2.84, 2 Al 3.03
Al (0.0000, 0.2438, 0.5000)  2 Os 2.58, 2 Rh 2.58, 2 Al 2.82
Al (0.2438, 0.0000, 0.5000)  2 Os 2.58, 2 Rh 2.58, 2 Al 2.82
Al (0.7562, 0.7562, 0.5000)  2 Os 2.58, 2 Rh 2.58, 2 Al 2.82
Os (0.3333, 0.6667, 0.5000)  3 Al 2.58, 6 Sc 2.84
Os (0.6667, 0.3333, 0.5000)  3 Al 2.58, 6 Sc 2.84
Rh (0.0000, 0.0000, 0.0000)  6 Al 2.58, 3 Sc 2.78

Values from the calculation:
- ρ: 7.504 g/cm3
- Space-group type: P-62m
- ΔE_f: -0.619 eV/atom

***

Record 5
A plane-wave DFT calculation with PBE was carried out for LiTlPb4 after structural relaxation.

Cell: 13.4318 13.4318 5.2339 Å, 90.00 90.00 157.32°
Last column: nearest neighbours and their distance in Å.
Atoms (fractional coordinates):
Li (0.1032, 0.8968, 0.5000)  2 Tl 3.07, 6 Pb 3.10-3.16
Li (0.8968, 0.1032, 0.0000)  2 Tl 3.07, 6 Pb 3.10-3.16
Tl (0.3378, 0.6622, 0.9944)  2 Li 3.07, 1 Pb 3.30
Tl (0.6622, 0.3378, 0.4944)  2 Li 3.07, 1 Pb 3.30
Pb (0.0398, 0.9602, 0.0019)  2 Li 3.10-3.11, 5 Pb 3.33-3.41
Pb (0.1690, 0.8310, 0.9968)  2 Li 3.13-3.15, 5 Pb 3.37-3.41
Pb (0.2502, 0.7498, 0.4954)  8 Pb 3.37-3.72, 4 Tl 3.48-3.51
Pb (0.4630, 0.5370, 0.0065)  2 Li 3.16, 4 Pb 3.26-3.33, 1 Tl 3.30
Pb (0.5370, 0.4630, 0.5065)  2 Li 3.16, 4 Pb 3.26-3.33, 1 Tl 3.30
Pb (0.7498, 0.2502, 0.9954)  8 Pb 3.37-3.72, 4 Tl 3.48-3.51
Pb (0.8310, 0.1690, 0.4968)  2 Li 3.13-3.15, 5 Pb 3.37-3.41
Pb (0.9602, 0.0398, 0.5019)  2 Li 3.10-3.11, 5 Pb 3.33-3.41

Values from the calculation:
- ρ: 9.488 g/cm3
- Space-group type: Cmc2_1
- ΔE_f: -0.019 eV/atom
- Excess energy over the best structure of this formula in the dataset: 0.314 eV/f.u.

***

Record 6
A plane-wave DFT calculation with PBE was carried out for AlV6Ga2 after structural relaxation.

Cell: 6.8501 6.8501 6.8501 Å, 142.66 137.07 58.18°
Last column: nearest neighbours and their distance in Å.
Atoms (fractional coordinates):
Al (0.0000, 0.0000, 0.0000)  10 V 2.59-2.79
V (0.1433, 0.3988, 0.7445)  4 V 2.42-2.56, 2 Ga 2.65
V (0.2164, 0.2164, 0.0000)  2 V 2.53, 4 Ga 2.58-2.62, 1 Al 2.59
V (0.3456, 0.6012, 0.7445)  4 V 2.42-2.56, 2 Ga 2.65
V (0.6544, 0.3988, 0.2555)  4 V 2.42-2.56, 2 Ga 2.65
V (0.7836, 0.7836, 0.0000)  2 V 2.53, 4 Ga 2.58-2.62, 1 Al 2.59
V (0.8567, 0.6012, 0.2555)  4 V 2.42-2.56, 2 Ga 2.65
Ga (0.3362, 0.8362, 0.5000)  8 V 2.58-2.65
Ga (0.6638, 0.1638, 0.5000)  8 V 2.58-2.65

Values from the calculation:
- ρ: 5.956 g/cm3
- Space-group type: Immm
- ΔE_f: -0.033 eV/atom
- Excess energy over the best structure of this formula in the dataset: 1.081 eV/f.u.

***

Record 7
A plane-wave DFT calculation with PBE was carried out for Tm2Mn3Si4 after structural relaxation.

Cell: 6.5249 6.5493 6.6005 Å, 90.00 110.17 90.00°
Last column: nearest neighbours and their distance in Å.
Atoms (fractional coordinates):
Tm (0.1882, 0.1682, 0.0541)  7 Si 2.71-2.94, 1 Mn 2.95
Tm (0.1882, 0.3318, 0.5541)  7 Si 2.71-2.94, 1 Mn 2.95
Tm (0.8118, 0.6682, 0.4459)  7 Si 2.71-2.94, 1 Mn 2.95
Tm (0.8118, 0.8318, 0.9459)  7 Si 2.71-2.94, 1 Mn 2.95
Mn (0.2438, 0.6450, 0.2557)  6 Si 2.39-2.55
Mn (0.2438, 0.8550, 0.7557)  6 Si 2.39-2.55
Mn (0.5000, 0.0000, 0.5000)  6 Si 2.42-2.60
Mn (0.5000, 0.5000, 0.0000)  6 Si 2.42-2.60
Mn (0.7562, 0.1450, 0.2443)  6 Si 2.39-2.55
Mn (0.7562, 0.3550, 0.7443)  6 Si 2.39-2.55
Si (0.1092, 0.5583, 0.8794)  4 Mn 2.39-2.54, 1 Si 2.59
Si (0.1092, 0.9417, 0.3794)  4 Mn 2.39-2.54, 1 Si 2.59
Si (0.4827, 0.6467, 0.6285)  5 Mn 2.42-2.60, 1 Si 2.62
Si (0.4827, 0.8533, 0.1285)  5 Mn 2.42-2.60, 1 Si 2.62
Si (0.5173, 0.1467, 0.8715)  5 Mn 2.42-2.60, 1 Si 2.62
Si (0.5173, 0.3533, 0.3715)  5 Mn 2.42-2.60, 1 Si 2.62
Si (0.8908, 0.0583, 0.6206)  4 Mn 2.39-2.54, 1 Si 2.59
Si (0.8908, 0.4417, 0.1206)  4 Mn 2.39-2.54, 1 Si 2.59

Values from the calculation:
- ρ: 7.715 g/cm3
- Space-group type: P2_1/c
- Formation energy (no corrections): -0.5327 eV/atom

***

Record 8
A plane-wave DFT calculation with PBE was carried out for TcHS2Cl after structural relaxation.

Cell: 4.5296 4.5296 5.0941 Å, 90.00 90.00 90.00°
Last column: nearest neighbours and their distance in Å.
Atoms (fractional coordinates):
Tc (0.0000, 0.0000, 0.0000)  4 S 2.26
H (0.5000, 0.5000, 0.5000)  4 Cl 3.20, 8 S 3.41
S (0.0000, 0.5000, 0.0000)  2 Tc 2.26
S (0.5000, 0.0000, 0.0000)  2 Tc 2.26
Cl (0.0000, 0.0000, 0.5000)  2 Tc 2.55

Values from the calculation:
- ρ: 3.155 g/cm3
- Space-group type: P4/mmm
- Excess energy over the best structure of this formula in the dataset: 0.000 eV/f.u.

***

Record 9
A plane-wave DFT calculation with PBE was carried out for Nd4Dy3Th4 after structural relaxation.

Cell: 11.6219 11.6219 11.6219 Å, 162.58 126.70 56.51°
Last column: nearest neighbours and their distance in Å.
Atoms (fractional coordinates):
Nd (0.0296, 0.8424, 0.1872)  4 Th 3.36-3.58, 2 Nd 3.52
Nd (0.3449, 0.1576, 0.1872)  4 Th 3.36-3.58, 2 Nd 3.52
Nd (0.6551, 0.8424, 0.8128)  4 Th 3.36-3.58, 2 Nd 3.52
Nd (0.9704, 0.1576, 0.8128)  4 Th 3.36-3.58, 2 Nd 3.52
Dy (0.0000, 0.5000, 0.5000)  4 Th 3.37, 2 Dy 3.52
Dy (0.4116, 0.4116, 0.0000)  6 Th 3.39-3.44, 3 Dy 3.52-3.62
Dy (0.5884, 0.5884, 0.0000)  6 Th 3.39-3.44, 3 Dy 3.52-3.62
Th (0.2703, 0.7703, 0.5000)  2 Dy 3.39, 6 Nd 3.50-3.58, 2 Th 3.52
Th (0.2753, 0.0000, 0.2753)  2 Nd 3.36, 6 Dy 3.37-3.44, 2 Th 3.52
Th (0.7247, 0.0000, 0.7247)  2 Nd 3.36, 6 Dy 3.37-3.44, 2 Th 3.52
Th (0.7297, 0.2297, 0.5000)  2 Dy 3.39, 6 Nd 3.50-3.58, 2 Th 3.52

Values from the calculation:
- ρ: 8.806 g/cm3
- Space-group type: Immm
- ΔE_f: 0.222 eV/atom

***

Record 10
A plane-wave DFT calculation with PBE was carried out for K3In8Ga3 after structural relaxation.

Cell: 9.3096 9.3096 9.3096 Å, 148.80 103.76 84.66°
Last column: nearest neighbours and their distance in Å.
Atoms (fractional coordinates):
K (0.0000, 0.0000, 0.0000)  12 In 3.60-3.79
K (0.2975, 0.2975, 0.0000)  4 Ga 3.41-3.75, 8 In 3.60-3.62
K (0.7025, 0.7025, 0.0000)  4 Ga 3.41-3.75, 8 In 3.60-3.62
In (0.0110, 0.6483, 0.3626)  1 Ga 3.01, 4 In 3.05-3.16
In (0.1529, 0.8650, 0.2878)  3 In 3.05-3.10, 3 Ga 3.07-3.15
In (0.2857, 0.6483, 0.6374)  1 Ga 3.01, 4 In 3.05-3.16
In (0.4228, 0.1350, 0.2878)  3 In 3.05-3.10, 3 Ga 3.07-3.15
In (0.5772, 0.8650, 0.7122)  3 In 3.05-3.10, 3 Ga 3.07-3.15
In (0.7143, 0.3517, 0.3626)  1 Ga 3.01, 4 In 3.05-3.16
In (0.8471, 0.1350, 0.7122)  3 In 3.05-3.10, 3 Ga 3.07-3.15
In (0.9890, 0.3517, 0.6374)  1 Ga 3.01, 4 In 3.05-3.16
Ga (0.3297, 0.5000, 0.8297)  6 In 3.01-3.15, 2 Ga 3.18
Ga (0.5000, 0.0000, 0.5000)  4 In 3.07, 4 Ga 3.18
Ga (0.6703, 0.5000, 0.1703)  6 In 3.01-3.15, 2 Ga 3.18

Values from the calculation:
- ρ: 5.218 g/cm3
- Space-group type: Immm
- ΔE_f: -0.072 eV/atom
- Excess energy over the best structure of this formula in the dataset: 0.109 eV/f.u.

***

Record 11
A plane-wave DFT calculation with PBE was carried out for SrCo2 after structural relaxation.

Cell: 11.5938 4.0485 6.0635 Å, 90.00 112.11 90.00°
Last column: nearest neighbours and their distance in Å.
Atoms (fractional coordinates):
Sr (0.1707, 0.0000, 0.1918)  9 Co 3.10-3.47
Sr (0.3293, 0.5000, 0.8082)  9 Co 3.10-3.47
Sr (0.6707, 0.5000, 0.1918)  9 Co 3.10-3.47
Sr (0.8293, 0.0000, 0.8082)  9 Co 3.10-3.47
Co (0.0234, 0.5000, 0.7007)  3 Co 2.25-2.29
Co (0.0926, 0.0000, 0.6429)  3 Co 2.19-2.25
Co (0.4074, 0.5000, 0.3571)  3 Co 2.19-2.25
Co (0.4766, 0.0000, 0.2993)  3 Co 2.25-2.29
Co (0.5234, 0.0000, 0.7007)  3 Co 2.25-2.29
Co (0.5926, 0.5000, 0.6429)  3 Co 2.19-2.25
Co (0.9074, 0.0000, 0.3571)  3 Co 2.19-2.25
Co (0.9766, 0.5000, 0.2993)  3 Co 2.25-2.29

Values from the calculation:
- ρ: 5.176 g/cm3
- Space-group type: C2/m
- ΔE_f: 0.381 eV/atom

***

Record 12
A plane-wave DFT calculation with PBE was carried out for Pm12TmSc6 after structural relaxation.

Cell: 9.1947 9.1947 9.1947 Å, 109.47 109.47 109.47°
Last column: nearest neighbours and their distance in Å.
Atoms (fractional coordinates):
Pm (0.0694, 0.2679, 0.8015)  1 Sc 3.01
Pm (0.1985, 0.4664, 0.2679)  1 Sc 3.01
Pm (0.1985, 0.9306, 0.7321)  1 Sc 3.01
Pm (0.2679, 0.1985, 0.4664)  1 Sc 3.01
Pm (0.2679, 0.8015, 0.0694)  1 Sc 3.01
Pm (0.4664, 0.2679, 0.1985)  1 Sc 3.01
Pm (0.5336, 0.7321, 0.8015)  1 Sc 3.01
Pm (0.7321, 0.1985, 0.9306)  1 Sc 3.01
Pm (0.7321, 0.8015, 0.5336)  1 Sc 3.01
Pm (0.8015, 0.0694, 0.2679)  1 Sc 3.01
Pm (0.8015, 0.5336, 0.7321)  1 Sc 3.01
Pm (0.9306, 0.7321, 0.1985)  1 Sc 3.01
Tm (0.0000, 0.0000, 0.0000)  12 Pm 3.54
Sc (0.1380, 0.5000, 0.6380)  1 Sc 2.93, 2 Pm 3.01
Sc (0.3620, 0.8620, 0.5000)  1 Sc 2.93, 2 Pm 3.01
Sc (0.5000, 0.3620, 0.8620)  1 Sc 2.93, 2 Pm 3.01
Sc (0.5000, 0.6380, 0.1380)  1 Sc 2.93, 2 Pm 3.01
Sc (0.6380, 0.1380, 0.5000)  1 Sc 2.93, 2 Pm 3.01
Sc (0.8620, 0.5000, 0.3620)  1 Sc 2.93, 2 Pm 3.01

Values from the calculation:
- ρ: 6.046 g/cm3
- Space-group type: Im-3
- ΔE_f: 0.232 eV/atom
- Excess energy over the best structure of this formula in the dataset: 0.000 eV/f.u.

***

Number 1: magnetization 0.00 μB/f.u.. Number 2: magnetization 0.00 μB/f.u.. Number 3: magnetization 0.00 μB/f.u.. Number 4: magnetization 0.00 μB/f.u.. Number 5: magnetization 0.00 μB/f.u.. Number 6: magnetization 0.00 μB/f.u.. Number 7: magnetization 1.39 μB/f.u.. Number 8: magnetization 0.42 μB/f.u.. Number 9: magnetization 0.00 μB/f.u.. Number 10: magnetization 0.00 μB/f.u.. Number 11: magnetization 3.00 μB/f.u.. Number 12: magnetization 0.00 μB/f.u..